CsAgRu2: optimized geometry, PBE.

```
8
Lattice="4.441 0.000 0.000 0.000 4.441 0.000 2.220 2.220 10.300" Properties=species:S:1:pos:R:3 pbc="T T T"
Ru 1.755 1.110 2.575
Ru 2.686 3.331 2.575
Ru 3.331 4.906 7.725
Ru 5.551 3.975 7.725
Cs 4.441 2.220 5.150
Cs 0.000 0.000 0.000
Ag 2.220 2.220 0.000
Ag 2.220 4.441 5.150
```

Computed properties:
- Offset from the most stable computed form: 0.000 eV per atom
- ΔH_f (0 K): 1331.9 meV per atom
- DOS(E_F): 10.384 states/eV/cell
- Volume: 25.39 Å³/atom
- SG: I-42d